1.
ZnCrRh3 | PBE | relaxed

Lattice parameters (Å, degrees): 4.443 4.443 4.443 90.00 90.00 90.00
Positions (direct):
Zn 0.000 0.000 0.000
Cr 0.500 0.500 0.500
Rh 0.000 0.500 0.500
Rh 0.500 0.000 0.500
Rh 0.500 0.500 0.000

Output
**DOS(E_F)**: 1.34 states/eV per atom
**Space-group type**: Pm-3m
**ΔH_f (0 K)**: 3.9 eV/f.u.
**DFT total energy**: -29.09 eV for the cell shown



2.
Zn2CrRh2 | PBE | relaxed

Lattice parameters (Å, degrees): 6.963 6.963 3.003 90.00 90.00 90.00
Positions (direct):
Zn 0.126 0.374 0.000
Zn 0.374 0.874 0.000
Zn 0.626 0.126 0.000
Zn 0.874 0.626 0.000
Cr 0.000 0.000 0.000
Cr 0.500 0.500 0.000
Rh 0.173 0.673 0.500
Rh 0.327 0.173 0.500
Rh 0.673 0.827 0.500
Rh 0.827 0.327 0.500

Output
**DOS(E_F)**: 0.70 states/eV per atom
**Space-group type**: P4/mbm
**ΔH_f (0 K)**: -0.4 eV/f.u.
**DFT total energy**: -54.51 eV for the cell shown



3.
ZnCrRh4 | PBE | relaxed

Lattice parameters (Å, degrees): 5.095 5.095 5.095 60.00 60.00 60.00
Positions (direct):
Zn 0.000 0.000 0.000
Cr 0.750 0.750 0.750
Rh 0.375 0.375 0.375
Rh 0.375 0.375 0.875
Rh 0.375 0.875 0.375
Rh 0.875 0.375 0.375

Output
**DOS(E_F)**: 1.50 states/eV per atom
**Space-group type**: F-43m
**ΔH_f (0 K)**: 1.4 eV/f.u.
**DFT total energy**: -38.93 eV for the cell shown